Entry 1:
Below is a crystal of K2ZnAs relaxed with PBEsol, with properties calculated at the SCAN level.

Cell: 7.723 7.723 7.723 Å, 90.00 90.00 90.00°
Space group Fm-3m (No. 225)
Symmetry-distinct sites (fractional):
K  0.250  0.250  0.250 (multiplicity 8)
Zn  0.000  0.000  0.000 (multiplicity 4)
As  0.000  0.000  0.500 (multiplicity 4)

Calculated values
DFT total energy = -0.926 Ry per atom
calculated formation energy = -0.005 eV/atom



Entry 2:
Below is a crystal of Cr2C relaxed with PBEsol, with properties calculated at the SCAN level.

Cell: 2.732 2.732 3.886 Å, 90.00 90.00 90.00°
Space group P4/mmm (No. 123)
Symmetry-distinct sites (fractional):
Cr  0.000  0.000  0.000 (multiplicity 1)
Cr  0.500  0.500  0.500 (multiplicity 1)
C  0.000  0.000  0.500 (multiplicity 1)

Calculated values
DFT total energy = -1.134 Ry per atom
calculated formation energy = 0.192 eV/atom



Entry 3:
Below is a crystal of TaRhCl2 relaxed with PBEsol, with properties calculated at the SCAN level.

Cell: 5.935 3.418 8.190 Å, 90.00 100.75 90.00°
Space group Cm (No. 8)
Symmetry-distinct sites (fractional):
Ta  0.000  0.000  0.000 (multiplicity 2)
Rh  0.318  0.000  0.819 (multiplicity 2)
Cl  0.041  0.500  0.601 (multiplicity 2)
Cl  0.257  0.500  0.224 (multiplicity 2)

Calculated values
DFT total energy = -2.194 Ry per atom
formation energy (no corrections) = -74.48 kJ per mole of atoms



Entry 4:
Below is a crystal of Be5Tc relaxed with PBEsol, with properties calculated at the SCAN level.

Cell: 8.561 2.477 5.456 Å, 90.00 108.77 90.00°
Space group Cm (No. 8)
Symmetry-distinct sites (fractional):
Be  0.000  0.000  0.000 (multiplicity 2)
Be  0.013  0.000  0.449 (multiplicity 2)
Be  0.143  0.500  0.814 (multiplicity 2)
Be  0.167  0.500  0.276 (multiplicity 2)
Be  0.330  0.000  0.128 (multiplicity 2)
Tc  0.331  0.000  0.639 (multiplicity 2)

Calculated values
DFT total energy = -0.698 Ry per atom
calculated formation energy = -0.030 eV/atom



Entry 5:
Below is a crystal of Sc2Se relaxed with PBEsol, with properties calculated at the SCAN level.

Cell: 10.441 3.508 7.455 Å, 90.00 118.85 90.00°
Space group C2/m (No. 12)
Symmetry-distinct sites (fractional):
Sc  0.071  0.000  0.348 (multiplicity 4)
Sc  0.149  0.500  0.050 (multiplicity 4)
Se  0.163  0.500  0.682 (multiplicity 4)

Calculated values
DFT total energy = -1.271 Ry per atom
formation energy (no corrections) = -106.71 kJ per mole of atoms



Entry 6:
Below is a crystal of Ta5Mo2 relaxed with PBEsol, with properties calculated at the SCAN level.

Cell: 10.187 3.220 7.290 Å, 90.00 98.81 90.00°
Space group C2/m (No. 12)
Symmetry-distinct sites (fractional):
Ta  0.000  0.000  0.000 (multiplicity 2)
Ta  0.080  0.500  0.714 (multiplicity 4)
Ta  0.142  0.000  0.419 (multiplicity 4)
Mo  0.213  0.500  0.138 (multiplicity 4)

Calculated values
DFT total energy = -4.236 Ry per atom
calculated formation energy = -0.104 eV/atom



Entry 7:
Below is a crystal of KTaIn2 relaxed with PBEsol, with properties calculated at the SCAN level.

Cell: 2.923 6.321 11.611 Å, 90.00 90.00 90.00°
Space group Immm (No. 71)
Symmetry-distinct sites (fractional):
K  0.000  0.000  0.000 (multiplicity 2)
Ta  0.000  0.000  0.500 (multiplicity 2)
In  0.000  0.500  0.217 (multiplicity 4)

Calculated values
DFT total energy = -2.551 Ry per atom
calculated formation energy = 0.712 eV/atom



Entry 8:
Below is a crystal of Co2SbI relaxed with PBEsol, with properties calculated at the SCAN level.

Cell: 5.632 5.632 11.029 Å, 90.00 90.00 90.00°
Space group I-42d (No. 122)
Symmetry-distinct sites (fractional):
Co  0.247  0.250  0.125 (multiplicity 8)
Sb  0.000  0.000  0.500 (multiplicity 4)
I  0.000  0.000  0.000 (multiplicity 4)

Calculated values
DFT total energy = -1.961 Ry per atom
formation energy (no corrections) = 44.90 kJ per mole of atoms



Entry 9:
Below is a crystal of Ti2FeP2O10 relaxed with PBEsol, with properties calculated at the SCAN level.

Cell: 7.398 7.399 7.312 Å, 90.00 119.42 90.00°
Space group P2_1/c (No. 14)
Symmetry-distinct sites (fractional):
Ti  0.247  0.232  0.225 (multiplicity 4)
Fe  0.500  0.000  0.000 (multiplicity 2)
P  0.246  0.625  0.999 (multiplicity 4)
O  0.046  0.734  0.915 (multiplicity 4)
O  0.244  0.506  0.825 (multiplicity 4)
O  0.277  0.503  0.185 (multiplicity 4)
O  0.284  0.163  0.011 (multiplicity 4)
O  0.431  0.743  0.584 (multiplicity 4)

Calculated values
DFT total energy = -0.853 Ry per atom
formation energy (no corrections) = -262.35 kJ per mole of atoms



Entry 10:
Below is a crystal of HgSbOs2 relaxed with PBEsol, with properties calculated at the SCAN level.

Cell: 2.905 2.905 8.651 Å, 90.00 90.00 90.00°
Space group P4mm (No. 99)
Symmetry-distinct sites (fractional):
Hg  0.000  0.000  0.000 (multiplicity 1)
Sb  0.500  0.500  0.674 (multiplicity 1)
Os  0.000  0.000  0.428 (multiplicity 1)
Os  0.500  0.500  0.244 (multiplicity 1)

Calculated values
DFT total energy = -4.539 Ry per atom
formation energy (no corrections) = 52.36 kJ per mole of atoms



Entry 11:
Below is a crystal of BaPtAu relaxed with PBEsol, with properties calculated at the SCAN level.

Cell: 4.5792 4.5792 4.3597 Å, 90.00 90.00 120.00°
Space group P-6m2 (No. 187)
Symmetry-distinct sites (fractional):
Ba  0.0000  0.0000  0.0000 (multiplicity 1)
Pt  0.6667  0.3333  0.5000 (multiplicity 1)
Au  0.3333  0.6667  0.5000 (multiplicity 1)

Calculated values
DFT total energy = -4.440 Ry per atom
calculated formation energy = -0.774 eV/atom



Entry 12:
Below is a crystal of MgZnAu2N relaxed with PBEsol, with properties calculated at the SCAN level.

Cell: 4.939 4.939 5.162 Å, 90.00 90.00 90.00°
Space group P4/mmm (No. 123)
Symmetry-distinct sites (fractional):
Mg  0.000  0.000  0.000 (multiplicity 1)
Zn  0.000  0.000  0.500 (multiplicity 1)
Au  0.000  0.500  0.000 (multiplicity 2)
N  0.500  0.500  0.500 (multiplicity 1)

Calculated values
DFT total energy = -2.339 Ry per atom
formation energy (no corrections) = 134.33 kJ per mole of atoms